First-principles (PBE) data for a geometry-optimized ZnCdPO4 structure, as listed in the Alexandria database.

Cell lengths 6.203, 6.203, 6.203 Å; angles 123.61, 112.79, 93.38 degrees
Element x y z (fractional)
Zn: 0.500 0.000 0.000
Zn: 0.500 0.500 0.500
Cd: 0.000 0.000 0.000
Cd: 0.500 0.000 0.500
P: 0.129 0.379 0.750
P: 0.871 0.621 0.250
O: 0.159 0.720 0.439
O: 0.219 0.280 0.939
O: 0.242 0.274 0.532
O: 0.242 0.710 0.968
O: 0.758 0.290 0.032
O: 0.758 0.726 0.468
O: 0.781 0.720 0.061
O: 0.841 0.280 0.561

The calculation puts the uncorrected energy at -37.588 eV/f.u. Its formation energy (no corrections) is -1450.9 meV/atom.

***

First-principles (PBE) data for a geometry-optimized Zn2CdPO6 structure, as listed in the Alexandria database.

Cell lengths 6.891, 6.891, 6.760 Å; angles 111.06, 111.06, 79.16 degrees
Element x y z (fractional)
Zn: 0.116 0.219 0.093
Zn: 0.219 0.116 0.593
Zn: 0.781 0.884 0.407
Zn: 0.884 0.781 0.907
Cd: 0.303 0.697 0.750
Cd: 0.697 0.303 0.250
P: 0.350 0.650 0.250
P: 0.650 0.350 0.750
O: 0.048 0.210 0.345
O: 0.193 0.694 0.038
O: 0.210 0.048 0.845
O: 0.306 0.807 0.462
O: 0.341 0.422 0.243
O: 0.422 0.341 0.743
O: 0.578 0.659 0.257
O: 0.659 0.578 0.757
O: 0.694 0.193 0.538
O: 0.790 0.952 0.155
O: 0.807 0.306 0.962
O: 0.952 0.790 0.655

The calculation puts the uncorrected energy at -53.502 eV/f.u. Its formation energy (no corrections) is -1488.0 meV/atom.

***

First-principles (PBE) data for a geometry-optimized ZnCdP2O8 structure, as listed in the Alexandria database.

Cell lengths 5.725, 5.725, 5.725 Å; angles 106.09, 106.09, 116.47 degrees
Element x y z (fractional)
Zn: 0.000 0.000 0.000
Cd: 0.750 0.250 0.500
P: 0.250 0.750 0.500
P: 0.500 0.500 0.000
O: 0.094 0.414 0.320
O: 0.094 0.774 0.680
O: 0.162 0.334 0.828
O: 0.226 0.906 0.320
O: 0.505 0.334 0.172
O: 0.586 0.906 0.680
O: 0.666 0.495 0.828
O: 0.666 0.838 0.172

The calculation puts the uncorrected energy at -70.788 eV/f.u. Its formation energy (no corrections) is -1509.5 meV/atom.

***

First-principles (PBE) data for a geometry-optimized ZrCdP2O structure, as listed in the Alexandria database.

Cell lengths 5.237, 5.237, 3.987 Å; angles 90.00, 90.00, 90.00 degrees
Element x y z (fractional)
Zr: 0.000 0.000 0.000
Cd: 0.500 0.500 0.500
P: 0.000 0.500 0.000
P: 0.500 0.000 0.000
O: 0.000 0.000 0.500

The calculation puts the uncorrected energy at -27.515 eV/f.u. Its formation energy (no corrections) is -454.7 meV/atom.

***

First-principles (PBE) data for a geometry-optimized ZrCdP2O structure, as listed in the Alexandria database.

Cell lengths 4.871, 4.871, 4.024 Å; angles 90.00, 90.00, 90.00 degrees
Element x y z (fractional)
Zr: 0.000 0.000 0.000
Cd: 0.500 0.500 0.500
P: 0.000 0.500 0.500
P: 0.500 0.000 0.500
O: 0.500 0.500 0.000

The calculation puts the uncorrected energy at -23.288 eV/f.u. Its formation energy (no corrections) is 390.6 meV/atom.

***

First-principles (PBE) data for a geometry-optimized Pa3CdO structure, as listed in the Alexandria database.

Cell lengths 4.773, 4.773, 4.773 Å; angles 90.00, 90.00, 90.00 degrees
Element x y z (fractional)
Pa: 0.000 0.000 0.500
Pa: 0.000 0.500 0.000
Pa: 0.500 0.000 0.000
Cd: 0.500 0.500 0.500
O: 0.000 0.000 0.000

The calculation puts the uncorrected energy at -38.340 eV/f.u. Its formation energy (no corrections) is -795.9 meV/atom.